Run A
Material: Al2Se3O12
Method: DFT, PBE
State: optimized geometry

Cell: 11.959 8.703 8.719 Å, 90.00 90.00 90.00°
Sites, in units of the cell vectors:
Al: 0.120 0.249 0.040
Al: 0.120 0.751 0.540
Al: 0.380 0.251 0.540
Al: 0.380 0.749 0.040
Al: 0.620 0.251 0.960
Al: 0.620 0.749 0.460
Al: 0.880 0.249 0.460
Al: 0.880 0.751 0.960
Se: 0.000 0.479 0.750
Se: 0.000 0.521 0.250
Se: 0.148 0.093 0.379
Se: 0.148 0.907 0.879
Se: 0.352 0.407 0.879
Se: 0.352 0.593 0.379
Se: 0.500 0.021 0.250
Se: 0.500 0.979 0.750
Se: 0.648 0.407 0.621
Se: 0.648 0.593 0.121
Se: 0.852 0.093 0.121
Se: 0.852 0.907 0.621
O: 0.020 0.155 0.415
O: 0.020 0.845 0.915
O: 0.051 0.372 0.888
O: 0.051 0.628 0.388
O: 0.105 0.412 0.187
O: 0.105 0.588 0.687
O: 0.152 0.098 0.890
O: 0.152 0.902 0.390
O: 0.188 0.130 0.199
O: 0.188 0.870 0.699
O: 0.232 0.173 0.508
O: 0.232 0.827 0.008
O: 0.268 0.327 0.008
O: 0.268 0.673 0.508
O: 0.312 0.370 0.699
O: 0.312 0.630 0.199
O: 0.348 0.402 0.390
O: 0.348 0.598 0.890
O: 0.395 0.088 0.687
O: 0.395 0.912 0.187
O: 0.449 0.128 0.388
O: 0.449 0.872 0.888
O: 0.480 0.345 0.915
O: 0.480 0.655 0.415
O: 0.520 0.345 0.585
O: 0.520 0.655 0.085
O: 0.551 0.128 0.112
O: 0.551 0.872 0.612
O: 0.605 0.088 0.813
O: 0.605 0.912 0.313
O: 0.652 0.402 0.110
O: 0.652 0.598 0.610
O: 0.688 0.370 0.801
O: 0.688 0.630 0.301
O: 0.732 0.327 0.492
O: 0.732 0.673 0.992
O: 0.768 0.173 0.992
O: 0.768 0.827 0.492
O: 0.812 0.130 0.301
O: 0.812 0.870 0.801
O: 0.848 0.098 0.610
O: 0.848 0.902 0.110
O: 0.895 0.412 0.313
O: 0.895 0.588 0.813
O: 0.949 0.372 0.612
O: 0.949 0.628 0.112
O: 0.980 0.155 0.085
O: 0.980 0.845 0.585

Summary:
**Total magnetic moment**: 0.00 μB/f.u.

Run B
Material: Al2Se3O12
Method: DFT, PBE
State: optimized geometry

Cell: 8.973 8.973 8.973 Å, 56.08 56.08 56.08°
Sites, in units of the cell vectors:
Al: 0.143 0.143 0.143
Al: 0.351 0.351 0.351
Al: 0.649 0.649 0.649
Al: 0.857 0.857 0.857
Se: 0.034 0.462 0.751
Se: 0.249 0.966 0.538
Se: 0.462 0.751 0.034
Se: 0.538 0.249 0.966
Se: 0.751 0.034 0.462
Se: 0.966 0.538 0.249
O: 0.014 0.631 0.794
O: 0.100 0.879 0.755
O: 0.121 0.245 0.900
O: 0.180 0.519 0.211
O: 0.188 0.487 0.525
O: 0.206 0.986 0.369
O: 0.211 0.180 0.519
O: 0.245 0.900 0.121
O: 0.369 0.206 0.986
O: 0.475 0.812 0.513
O: 0.481 0.789 0.820
O: 0.487 0.525 0.188
O: 0.513 0.475 0.812
O: 0.519 0.211 0.180
O: 0.525 0.188 0.487
O: 0.631 0.794 0.014
O: 0.755 0.100 0.879
O: 0.789 0.820 0.481
O: 0.794 0.014 0.631
O: 0.812 0.513 0.475
O: 0.820 0.481 0.789
O: 0.879 0.755 0.100
O: 0.900 0.121 0.245
O: 0.986 0.369 0.206

Summary:
**Total magnetic moment**: 0.00 μB/f.u.

Referenced to the most stable arrangement, the calculated values in eV/atom are run A 0.024; run B 0.000.

Run A
Material: AlSi3O8
Method: DFT, PBE
State: optimized geometry

Cell: 5.151 9.158 9.158 Å, 86.27 90.00 90.00°
Sites, in units of the cell vectors:
Al: 0.000 0.000 0.000
Al: 0.500 0.500 0.500
Si: 0.000 0.654 0.654
Si: 0.105 0.000 0.646
Si: 0.395 0.500 0.146
Si: 0.500 0.154 0.154
Si: 0.605 0.146 0.500
Si: 0.895 0.646 0.000
O: 0.063 0.827 0.622
O: 0.065 0.032 0.814
O: 0.099 0.541 0.094
O: 0.243 0.555 0.608
O: 0.257 0.055 0.108
O: 0.401 0.041 0.594
O: 0.435 0.532 0.314
O: 0.437 0.327 0.122
O: 0.563 0.122 0.327
O: 0.565 0.314 0.532
O: 0.599 0.594 0.041
O: 0.743 0.108 0.055
O: 0.757 0.608 0.555
O: 0.901 0.094 0.541
O: 0.935 0.814 0.032
O: 0.937 0.622 0.827

Summary:
**Total magnetic moment**: 1.07 μB/f.u.

Run B
Material: AlSi3O8
Method: DFT, PBE
State: optimized geometry

Cell: 6.985 7.444 7.537 Å, 62.87 79.46 70.09°
Sites, in units of the cell vectors:
Al: 0.028 0.290 0.101
Al: 0.972 0.710 0.899
Si: 0.175 0.001 0.470
Si: 0.311 0.906 0.855
Si: 0.372 0.340 0.803
Si: 0.628 0.660 0.197
Si: 0.689 0.094 0.145
Si: 0.825 0.999 0.530
O: 0.053 0.827 0.505
O: 0.102 0.846 0.937
O: 0.144 0.470 0.876
O: 0.245 0.122 0.243
O: 0.313 0.145 0.808
O: 0.350 0.906 0.632
O: 0.475 0.729 0.025
O: 0.480 0.538 0.393
O: 0.520 0.462 0.607
O: 0.525 0.271 0.975
O: 0.650 0.094 0.368
O: 0.687 0.855 0.192
O: 0.755 0.878 0.757
O: 0.856 0.530 0.124
O: 0.898 0.154 0.063
O: 0.947 0.173 0.495

Summary:
**Total magnetic moment**: 0.03 μB/f.u.

Run C
Material: AlSi3O8
Method: DFT, PBE
State: optimized geometry

Cell: 7.279 8.073 8.077 Å, 114.23 103.60 105.37°
Sites, in units of the cell vectors:
Al: 0.166 0.405 0.175
Al: 0.834 0.595 0.825
Si: 0.171 0.175 0.411
Si: 0.276 0.171 0.796
Si: 0.284 0.815 0.180
Si: 0.716 0.185 0.820
Si: 0.724 0.829 0.204
Si: 0.829 0.825 0.589
O: 0.080 0.955 0.686
O: 0.104 0.712 0.962
O: 0.223 0.350 0.361
O: 0.237 0.660 0.260
O: 0.256 0.265 0.650
O: 0.276 0.316 0.004
O: 0.281 0.025 0.325
O: 0.488 0.134 0.830
O: 0.512 0.866 0.170
O: 0.719 0.975 0.675
O: 0.724 0.684 0.996
O: 0.744 0.735 0.350
O: 0.763 0.340 0.740
O: 0.777 0.650 0.639
O: 0.896 0.288 0.038
O: 0.920 0.045 0.314

Summary:
**Total magnetic moment**: 1.09 μB/f.u.

Referenced to the most stable arrangement, the calculated values in eV/atom are run A 0.000; run B 0.170; run C 0.022.